Below is Np3In5Se12 after structural relaxation, with properties calculated at the PBE level.

Summary:
Theoretical density   6.53 Mg/m³
V   28.379 A^3/atom
Total magnetic moment   47.1 Bohr magnetons per cell
Symmetry   Ia-3d, No. 230
Energy   -5.418 eV per atom

Cell and atoms, written as POSCAR:
```
Np3In5Se12
1.0
-8.280 8.280 8.280
8.280 -8.280 8.280
8.280 8.280 -8.280
Np In Se
12 20 48
direct
0.125 0.250 0.375
0.125 0.375 0.750
0.250 0.375 0.125
0.250 0.875 0.625
0.375 0.125 0.250
0.375 0.750 0.125
0.625 0.250 0.875
0.625 0.875 0.750
0.750 0.125 0.375
0.750 0.625 0.875
0.875 0.625 0.250
0.875 0.750 0.625
0.000 0.000 0.000
0.000 0.000 0.500
0.000 0.500 0.000
0.000 0.500 0.500
0.125 0.750 0.875
0.125 0.875 0.250
0.250 0.125 0.875
0.250 0.625 0.375
0.375 0.250 0.625
0.375 0.625 0.750
0.500 0.000 0.000
0.500 0.000 0.500
0.500 0.500 0.000
0.500 0.500 0.500
0.625 0.375 0.250
0.625 0.750 0.375
0.750 0.375 0.625
0.750 0.875 0.125
0.875 0.125 0.750
0.875 0.250 0.125
0.046 0.219 0.132
0.046 0.327 0.914
0.086 0.632 0.413
0.086 0.954 0.673
0.087 0.719 0.673
0.087 0.868 0.414
0.132 0.046 0.219
0.132 0.586 0.913
0.173 0.219 0.587
0.173 0.454 0.586
0.219 0.132 0.046
0.219 0.587 0.173
0.281 0.327 0.913
0.281 0.454 0.368
0.327 0.913 0.281
0.327 0.914 0.046
0.368 0.281 0.454
0.368 0.587 0.914
0.413 0.086 0.632
0.413 0.827 0.781
0.414 0.087 0.868
0.414 0.827 0.546
0.454 0.368 0.281
0.454 0.586 0.173
0.546 0.414 0.827
0.546 0.632 0.719
0.586 0.173 0.454
0.586 0.913 0.132
0.587 0.173 0.219
0.587 0.914 0.368
0.632 0.413 0.086
0.632 0.719 0.546
0.673 0.086 0.954
0.673 0.087 0.719
0.719 0.546 0.632
0.719 0.673 0.087
0.781 0.413 0.827
0.781 0.868 0.954
0.827 0.546 0.414
0.827 0.781 0.413
0.868 0.414 0.087
0.868 0.954 0.781
0.913 0.132 0.586
0.913 0.281 0.327
0.914 0.046 0.327
0.914 0.368 0.587
0.954 0.673 0.086
0.954 0.781 0.868
```